This record from Alexandria via LeMat-Bulk describes a relaxed structure of K2BaNi. The functional is GGA-PBE.

Properties
As for the electronic total energy: -8.9 eV/cell. The magnetic moment comes out at 0.000 μB/atom. For the energy relative to the lowest polymorph listed for this composition, the calculation gives 0 meV per atom. Its density of states at the Fermi level is 2.80 states/eV/cell. The energy of formation from the pure elements is 24 kJ per mole of atoms.

Cell and atoms, written as CIF:
```
data_K2BaNi
_symmetry_space_group_name_H-M 'P 1 m 1'
_symmetry_Int_Tables_number 6
_symmetry_space_group_name_Hall 'P -2y'
_cell_length_a 4.435
_cell_length_b 4.199
_cell_length_c 10.616
_cell_angle_alpha 90.00
_cell_angle_beta 102.03
_cell_angle_gamma 90.00
loop_
_atom_site_label
_atom_site_type_symbol
_atom_site_fract_x
_atom_site_fract_y
_atom_site_fract_z
K1 K 0.000 0.000 0.000
K2 K 0.322 0.500 0.645
Ba1 Ba 0.659 0.500 0.315
Ni1 Ni 0.185 0.000 0.366
```